# 1
## PaZn8Cu4 (PBE)

Data for PaZn8Cu4 after structural relaxation.

Cell: 6.735 6.735 6.735 Å, 97.67 97.67 137.16°
Element x y z (fractional)
Pa (0.000, 0.000, 0.000)
Zn (0.000, 0.348, 0.348)
Zn (0.000, 0.652, 0.652)
Zn (0.281, 0.500, 0.781)
Zn (0.348, 0.000, 0.348)
Zn (0.500, 0.281, 0.781)
Zn (0.500, 0.719, 0.219)
Zn (0.652, 0.000, 0.652)
Zn (0.719, 0.500, 0.219)
Cu (0.000, 0.000, 0.500)
Cu (0.000, 0.500, 0.000)
Cu (0.500, 0.000, 0.000)
Cu (0.500, 0.500, 0.500)

Results
SG = I4/mmm
Crystal system = tetragonal
Energy of formation from the pure elements = -1.401 eV per formula unit
D(E_F) = 6.70 states/eV per cell
Calculated volume = 193 Å³/cell

=====

# 2
## ZnPH2 (PBE)

Data for ZnPH2 after structural relaxation.

Cell: 2.667 4.648 5.117 Å, 63.26 89.59 90.00°
Element x y z (fractional)
Zn (0.000, 0.000, 0.000)
P (0.998, 0.408, 0.185)
H (0.003, 0.566, 0.868)
H (0.503, 0.114, 0.770)

Results
SG = P1
Final energy = -0.11602 hartree per atom
Crystal system = triclinic
D(E_F) = 0.57 states/eV per cell
Calculated volume = 57 Å³/cell

=====

# 3
## Ca2MgBr6 (PBE)

Data for Ca2MgBr6 after structural relaxation.

Cell: 6.731 6.731 12.748 Å, 90.00 90.00 90.00°
Element x y z (fractional)
Ca (0.000, 0.000, 0.166)
Ca (0.000, 0.000, 0.834)
Ca (0.500, 0.500, 0.334)
Ca (0.500, 0.500, 0.666)
Mg (0.000, 0.000, 0.500)
Mg (0.500, 0.500, 0.000)
Br (0.191, 0.191, 0.344)
Br (0.191, 0.191, 0.656)
Br (0.209, 0.209, 0.000)
Br (0.291, 0.709, 0.500)
Br (0.309, 0.691, 0.156)
Br (0.309, 0.691, 0.844)
Br (0.691, 0.309, 0.156)
Br (0.691, 0.309, 0.844)
Br (0.709, 0.291, 0.500)
Br (0.791, 0.791, 0.000)
Br (0.809, 0.809, 0.344)
Br (0.809, 0.809, 0.656)

Results
SG = P4_2/mnm
Crystal system = tetragonal
E_form (uncorrected) = -1.813 eV/atom
D(E_F) = 0.00 states/eV per cell
Calculated volume = 578 Å³/cell

=====

# 4
## Li2CeMnCl8 (PBE)

Data for Li2CeMnCl8 after structural relaxation.

Cell: 6.486 6.678 7.737 Å, 90.15 90.02 106.45°
Element x y z (fractional)
Li (0.000, 0.001, 0.227)
Li (0.000, 0.999, 0.773)
Ce (0.500, 0.000, 0.500)
Mn (0.500, 0.000, 0.000)
Cl (0.221, 0.218, 0.500)
Cl (0.254, 0.200, 0.000)
Cl (0.270, 0.773, 0.238)
Cl (0.270, 0.773, 0.761)
Cl (0.730, 0.227, 0.239)
Cl (0.730, 0.227, 0.762)
Cl (0.746, 0.800, 0.000)
Cl (0.779, 0.782, 0.500)

Results
SG = P-1
Crystal system = triclinic
E_form (uncorrected) = -1.671 eV/atom
D(E_F) = 5.94 states/eV per cell
Calculated volume = 321 Å³/cell

=====

# 5
## HfAg (PBE)

Data for HfAg after structural relaxation.

Cell: 7.492 7.492 7.492 Å, 109.47 109.47 109.47°
Element x y z (fractional)
Hf (0.000, 0.000, 0.243)
Hf (0.000, 0.243, 0.000)
Hf (0.243, 0.000, 0.000)
Hf (0.757, 0.757, 0.757)
Ag (0.000, 0.000, 0.618)
Ag (0.000, 0.618, 0.000)
Ag (0.382, 0.382, 0.382)
Ag (0.618, 0.000, 0.000)

Results
SG = I-43m
Crystal system = cubic
Energy of formation from the pure elements = 2.394 eV per formula unit
D(E_F) = 10.27 states/eV per cell
Calculated volume = 324 Å³/cell

=====

# 6
## Sc8CS3 (PBE)

Data for Sc8CS3 after structural relaxation.

Cell: 6.890 6.890 6.890 Å, 61.86 61.86 61.86°
Element x y z (fractional)
Sc (0.216, 0.768, 0.768)
Sc (0.232, 0.232, 0.784)
Sc (0.232, 0.784, 0.232)
Sc (0.246, 0.246, 0.246)
Sc (0.754, 0.754, 0.754)
Sc (0.768, 0.216, 0.768)
Sc (0.768, 0.768, 0.216)
Sc (0.784, 0.232, 0.232)
C (0.000, 0.000, 0.000)
S (0.000, 0.500, 0.500)
S (0.500, 0.000, 0.500)
S (0.500, 0.500, 0.000)

Results
SG = R-3m
Crystal system = trigonal
E_form (uncorrected) = -1.064 eV/atom
D(E_F) = 5.30 states/eV per cell
Calculated volume = 241 Å³/cell

=====

# 7
## CeTm2V (PBE)

Data for CeTm2V after structural relaxation.

Cell: 11.406 11.406 11.406 Å, 16.48 16.48 16.48°
Element x y z (fractional)
Ce (0.000, 0.000, 0.000)
Tm (0.417, 0.417, 0.417)
Tm (0.583, 0.583, 0.583)
V (0.500, 0.500, 0.500)

Results
SG = R-3m
Crystal system = trigonal
Energy of formation from the pure elements = 2.342 eV per formula unit
D(E_F) = 6.70 states/eV per cell
Calculated volume = 104 Å³/cell

=====

# 8
## ZnSi2Ni (PBE)

Data for ZnSi2Ni after structural relaxation.

Cell: 5.809 5.809 5.809 Å, 154.86 137.15 50.33°
Element x y z (fractional)
Zn (0.000, 0.000, 0.000)
Si (0.305, 0.805, 0.500)
Si (0.695, 0.195, 0.500)
Ni (0.500, 0.500, 0.000)

Results
SG = Immm
Crystal system = orthorhombic
E_form (uncorrected) = -0.019 eV/atom
D(E_F) = 1.78 states/eV per cell
Calculated volume = 56 Å³/cell